Entry 1:
Here is crystalline Na2LiFeH at its relaxed geometry from Alexandria. Energies are from PBE.

V, Å³/cell: 93
Energy, eV per atom: -2.77
Magnetization, μB/atom: 0.515

Unit cell a=5.047 b=3.635 c=5.047 alpha=90.00 beta=90.00 gamma=90.00
Each line ends with the local moment (μB).
Element x y z (fractional)
Na 0.000 0.000 0.500  -0.02
Na 0.500 0.000 0.000  -0.02
Fe 0.500 0.500 0.500  2.94
H 0.000 0.000 0.000  0.00
Li 0.000 0.500 0.000  -0.03

---

Entry 2:
Here is crystalline NaLi2FeH5 at its relaxed geometry from Alexandria. Energies are from PBE.

V, Å³/cell: 74
Energy, eV per atom: -3.63
Magnetization, μB/atom: 0.039

Unit cell a=3.289 b=4.977 c=5.415 alpha=117.36 beta=107.68 gamma=90.00
Each line ends with the local moment (μB).
Element x y z (fractional)
Na 0.000 0.500 0.000  0.00
Li 0.213 0.213 0.426  0.00
Li 0.787 0.787 0.574  0.00
Fe 0.500 0.000 0.000  0.41
H 0.631 0.907 0.261  0.00
H 0.369 0.093 0.739  0.00
H 0.369 0.646 0.739  0.00
H 0.631 0.354 0.261  0.00
H 0.000 0.000 0.000  -0.01

---

Entry 3:
Here is crystalline LiNd2FeH6 at its relaxed geometry from Alexandria. Energies are from PBE.

V, Å³/cell: 103
Energy, eV per atom: -4.37
Magnetization, μB/atom: 0.124

Unit cell a=4.782 b=4.976 c=4.976 alpha=120.00 beta=90.00 gamma=90.00
Each line ends with the local moment (μB).
Element x y z (fractional)
Li 0.500 0.000 0.000  0.01
Nd 0.236 0.333 0.667  0.06
Nd 0.764 0.667 0.333  0.06
Fe 0.000 0.000 0.000  1.00
H 0.787 0.158 0.317  -0.01
H 0.787 0.158 0.842  -0.01
H 0.787 0.683 0.842  -0.01
H 0.213 0.842 0.158  -0.01
H 0.213 0.317 0.158  -0.01
H 0.213 0.842 0.683  -0.01